1.
Density functional theory data (PBE) for crystalline Ce12Rh6Au at its relaxed geometry.

Calculated values
Fermi-level density of states = 3.269 states/eV per atom
E_form = -0.364 eV per atom

a b c (Å): 8.153 8.153 8.153
angles (deg): 97.33 97.33 97.33
Element x y z (fractional)
Rh: 0.872 0.372 0.676
Ce: 0.650 0.934 0.039
Au: 0.000 0.000 0.000
Ce: 0.039 0.650 0.934
Ce: 0.588 0.424 0.814
Ce: 0.961 0.350 0.066
Ce: 0.814 0.588 0.424
Rh: 0.372 0.676 0.872
Ce: 0.186 0.412 0.576
Rh: 0.128 0.628 0.324
Rh: 0.676 0.872 0.372
Rh: 0.628 0.324 0.128
Ce: 0.412 0.576 0.186
Ce: 0.066 0.961 0.350
Ce: 0.576 0.186 0.412
Ce: 0.934 0.039 0.650
Ce: 0.350 0.066 0.961
Rh: 0.324 0.128 0.628
Ce: 0.424 0.814 0.588


2.
Density functional theory data (PBE) for crystalline ErHgRh at its relaxed geometry.

Calculated values
Fermi-level density of states = 0.511 states/eV per atom
E_form = -0.600 eV per atom

a b c (Å): 3.927 8.920 7.169
angles (deg): 90.00 90.00 90.00
Element x y z (fractional)
Hg: 0.250 0.435 0.359
Rh: 0.250 0.365 0.767
Rh: 0.250 0.135 0.267
Rh: 0.750 0.635 0.233
Hg: 0.750 0.935 0.141
Hg: 0.750 0.565 0.641
Er: 0.250 0.819 0.454
Er: 0.750 0.181 0.546
Rh: 0.750 0.865 0.733
Hg: 0.250 0.065 0.859
Er: 0.750 0.319 0.046
Er: 0.250 0.681 0.954


3.
Density functional theory data (PBE) for crystalline DyAlIrRh at its relaxed geometry.

Calculated values
Fermi-level density of states = 0.279 states/eV per atom
E_form = -0.818 eV per atom

a b c (Å): 4.574 4.574 4.574
angles (deg): 60.00 60.00 60.00
Element x y z (fractional)
Rh: 0.500 0.500 0.500
Al: 0.750 0.750 0.750
Ir: 0.000 0.000 0.000
Dy: 0.250 0.250 0.250


4.
Density functional theory data (PBE) for crystalline NpTl3Te6Pb2 at its relaxed geometry.

Calculated values
formation energy without anion corrections = -0.4232 eV/atom
Fermi-level density of states = 0.772 states/eV per atom

a b c (Å): 7.967 7.967 8.344
angles (deg): 99.12 99.12 119.68
Element x y z (fractional)
Te: 0.233 0.233 0.775
Pb: 0.665 0.335 0.000
Te: 0.928 0.619 0.782
Te: 0.072 0.381 0.218
Tl: 0.500 0.500 0.500
Pb: 0.335 0.665 0.000
Te: 0.619 0.928 0.782
Np: 0.000 0.000 0.000
Te: 0.767 0.767 0.225
Tl: 0.171 0.829 0.500
Tl: 0.829 0.171 0.500
Te: 0.381 0.072 0.218


5.
Density functional theory data (PBE) for crystalline LiPr3Ga at its relaxed geometry.

Calculated values
Fermi-level density of states = 1.000 states/eV per atom
E_form = -0.153 eV per atom

a b c (Å): 3.593 9.057 10.674
angles (deg): 57.03 86.76 95.72
Element x y z (fractional)
Pr: 0.822 0.581 0.019
Pr: 0.205 0.207 0.074
Ga: 0.380 0.618 0.758
Li: 0.689 0.831 0.163
Li: 0.337 0.958 0.930
Pr: 0.012 0.981 0.640
Pr: 0.798 0.356 0.718
Ga: 0.647 0.170 0.335
Pr: 0.015 0.807 0.452
Pr: 0.229 0.432 0.375


6.
Density functional theory data (PBE) for crystalline CaMgBiF at its relaxed geometry.

Calculated values
formation energy without anion corrections = -1.7285 eV/atom

a b c (Å): 4.417 4.417 9.433
angles (deg): 90.00 90.00 90.00
Element x y z (fractional)
F: 0.000 0.000 0.000
Mg: 0.000 0.000 0.500
Ca: 0.500 0.000 0.116
Mg: 0.500 0.500 0.500
F: 0.500 0.500 0.000
Bi: 0.000 0.500 0.295
Ca: 0.000 0.500 0.884
Bi: 0.500 0.000 0.705


7.
Density functional theory data (PBE) for crystalline Li2MnPd4 at its relaxed geometry.

Calculated values
energy above the most stable polymorph in this dataset = 23 kJ/mol of formula units
Fermi-level density of states = 0.473 states/eV per atom
E_form = -0.175 eV per atom

a b c (Å): 5.158 5.158 5.158
angles (deg): 109.53 109.44 109.44
Element x y z (fractional)
Pd: 0.500 0.500 0.500
Li: 0.500 0.000 0.500
Mn: 0.000 0.000 0.000
Li: 0.500 0.500 0.000
Pd: 0.500 0.000 0.000
Pd: 0.000 0.000 0.500
Pd: 0.000 0.500 0.000


8.
Density functional theory data (PBE) for crystalline SrMg2Au2 at its relaxed geometry.

Calculated values
energy above the most stable polymorph in this dataset = 84 kJ/mol of formula units
Fermi-level density of states = 0.379 states/eV per atom
E_form = -0.470 eV per atom

a b c (Å): 8.045 8.045 3.605
angles (deg): 90.00 90.00 90.00
Element x y z (fractional)
Au: 0.139 0.361 0.000
Mg: 0.854 0.354 0.500
Au: 0.861 0.639 0.000
Au: 0.361 0.861 0.000
Sr: 0.500 0.500 0.000
Mg: 0.354 0.146 0.500
Mg: 0.146 0.646 0.500
Au: 0.639 0.139 0.000
Mg: 0.646 0.854 0.500
Sr: 0.000 0.000 0.000


Total magnetic moment readings, ordered: 10.14, 0.00, 0.00, 2.01, 0.00, 0.00, 4.33, 0.00 μB/cell